Entry a
The following is a GGA-PBE calculation of crystalline SrC at its relaxed geometry, from the Alexandria database.

Geometry as POSCAR:
```
SrC
1.0
5.470 0.000 0.000
0.000 5.470 0.000
0.000 0.000 5.470
Sr C
3 3
Cartesian
0.000 0.000 2.735
0.000 2.735 0.000
2.735 0.000 0.000
0.000 2.735 2.735
2.735 0.000 2.735
2.735 2.735 0.000
```

Values from the calculation:
**SG**: Pm-3m, No. 221
**Crystal system**: cubic
**Theoretical density**: 3.03 g/cm3


Entry b
The following is a GGA-PBE calculation of crystalline SrC at its relaxed geometry, from the Alexandria database.

Geometry as POSCAR:
```
SrC
1.0
3.675 0.000 0.000
0.000 2.865 0.000
-1.826 0.000 7.479
Sr C
2 2
Cartesian
-0.003 0.716 1.783
1.851 2.149 5.696
0.010 0.716 7.123
1.839 2.149 0.356
```

Values from the calculation:
**SG**: P2_1/m, No. 11
**Crystal system**: monoclinic
**Theoretical density**: 4.20 g/cm3


Entry c
The following is a GGA-PBE calculation of crystalline SrC at its relaxed geometry, from the Alexandria database.

Geometry as POSCAR:
```
SrC
1.0
5.675 0.000 0.000
0.000 5.675 0.000
0.000 0.000 5.675
Sr C
4 4
Cartesian
0.000 0.000 0.000
0.000 2.837 2.837
2.837 0.000 2.837
2.837 2.837 0.000
0.000 0.000 2.837
0.000 2.837 0.000
2.837 0.000 0.000
2.837 2.837 2.837
```

Values from the calculation:
**SG**: Fm-3m, No. 225
**Crystal system**: cubic
**Theoretical density**: 3.62 g/cm3


Entry d
The following is a GGA-PBE calculation of crystalline SrC at its relaxed geometry, from the Alexandria database.

Geometry as POSCAR:
```
SrC
1.0
10.196 0.000 0.000
0.000 2.954 0.000
-2.720 0.000 7.866
Sr C
6 6
Cartesian
0.000 0.000 0.000
-0.044 1.477 4.831
2.487 0.000 2.558
5.098 1.477 0.000
5.054 0.000 4.831
7.585 1.477 2.558
0.284 1.477 2.149
2.244 0.000 5.429
2.758 1.477 5.011
5.382 0.000 2.149
7.342 1.477 5.429
7.856 0.000 5.011
```

Values from the calculation:
**SG**: Cm, No. 8
**Crystal system**: monoclinic
**Theoretical density**: 4.19 g/cm3


Most stable: entry b


Entry a
The following is a GGA-PBE calculation of crystalline Sr3C at its relaxed geometry, from the Alexandria database.

Geometry as POSCAR:
```
Sr3C
1.0
5.672 0.000 0.000
0.000 13.636 0.000
0.000 0.000 4.084
Sr C
6 2
Cartesian
0.000 0.000 0.000
0.000 5.048 2.042
0.000 8.588 2.042
2.836 1.770 2.042
2.836 6.818 0.000
2.836 11.865 2.042
0.000 6.818 0.000
2.836 0.000 0.000
```

Values from the calculation:
**SG**: Cmmm, No. 65
**Crystal system**: orthorhombic
**Theoretical density**: 2.89 g/cm3


Entry b
The following is a GGA-PBE calculation of crystalline Sr3C at its relaxed geometry, from the Alexandria database.

Geometry as POSCAR:
```
Sr3C
1.0
4.840 0.000 0.000
0.000 4.840 0.000
0.000 0.000 10.269
Sr C
6 2
Cartesian
0.000 0.000 0.000
0.000 2.420 2.567
0.000 2.420 7.701
2.420 0.000 2.567
2.420 0.000 7.701
2.420 2.420 5.134
0.000 0.000 5.134
2.420 2.420 0.000
```

Values from the calculation:
**SG**: I4/mmm, No. 139
**Crystal system**: tetragonal
**Theoretical density**: 3.79 g/cm3


Most stable: entry a


Entry a
The following is a GGA-PBE calculation of crystalline Sr3C at its relaxed geometry, from the Alexandria database.

Geometry as POSCAR:
```
Sr3C
1.0
5.507 0.000 0.000
0.000 5.507 0.000
0.000 0.000 5.507
Sr C
3 1
Cartesian
0.000 0.000 2.753
0.000 2.753 0.000
2.753 0.000 0.000
0.000 0.000 0.000
```

Values from the calculation:
**SG**: Pm-3m, No. 221
**Crystal system**: cubic
**Theoretical density**: 2.73 g/cm3


Entry b
The following is a GGA-PBE calculation of crystalline Sr3C at its relaxed geometry, from the Alexandria database.

Geometry as POSCAR:
```
Sr3C
1.0
4.847 0.000 0.000
0.000 4.847 0.000
0.000 0.000 6.696
Sr C
3 1
Cartesian
0.000 0.000 0.000
0.000 2.424 2.992
2.424 0.000 2.992
2.424 2.424 1.840
```

Values from the calculation:
**SG**: P4mm, No. 99
**Crystal system**: tetragonal
**Theoretical density**: 2.90 g/cm3


Entry c
The following is a GGA-PBE calculation of crystalline Sr3C at its relaxed geometry, from the Alexandria database.

Geometry as POSCAR:
```
Sr3C
1.0
7.711 0.000 0.000
0.000 20.779 0.000
0.000 0.000 3.734
Sr C
12 4
Cartesian
0.000 4.944 0.933
0.000 15.835 2.800
1.686 1.988 0.933
1.686 18.791 2.800
2.169 8.402 2.800
2.169 12.378 0.933
3.856 5.445 2.800
3.856 15.334 0.933
5.542 8.402 2.800
5.542 12.378 0.933
6.025 1.988 0.933
6.025 18.791 2.800
0.000 2.982 2.800
0.000 17.798 0.933
3.856 7.408 0.933
3.856 13.371 2.800
```

Values from the calculation:
**SG**: Cmcm, No. 63
**Crystal system**: orthorhombic
**Theoretical density**: 3.05 g/cm3


Most stable: entry c


Entry a
The following is a GGA-PBE calculation of crystalline Sr3C at its relaxed geometry, from the Alexandria database.

Geometry as POSCAR:
```
Sr3C
1.0
10.445 0.000 0.000
-5.223 9.046 0.000
0.000 0.000 4.144
Sr C
9 3
Cartesian
-2.611 4.523 0.000
0.000 3.015 1.381
-2.611 7.538 1.381
2.611 1.508 2.763
5.223 0.000 0.000
2.611 4.523 0.000
2.611 7.538 1.381
7.834 1.508 2.763
5.223 6.031 2.763
0.000 0.000 0.000
0.000 6.031 2.763
5.223 3.015 1.381
```

Values from the calculation:
**SG**: R-3m, No. 166
**Crystal system**: trigonal
**Theoretical density**: 3.50 g/cm3


Entry b
The following is a GGA-PBE calculation of crystalline Sr3C at its relaxed geometry, from the Alexandria database.

Geometry as POSCAR:
```
Sr3C
1.0
7.247 0.000 0.000
0.000 14.943 0.000
0.000 0.000 7.216
Sr C
12 4
Cartesian
0.000 1.010 1.804
0.000 13.933 5.412
1.734 4.985 1.804
1.734 9.958 5.412
1.889 2.487 5.412
1.889 12.456 1.804
3.623 6.462 5.412
3.623 8.481 1.804
5.358 2.487 5.412
5.358 12.456 1.804
5.513 4.985 1.804
5.513 9.958 5.412
0.000 6.783 1.804
0.000 8.160 5.412
3.623 0.688 5.412
3.623 14.254 1.804
```

Values from the calculation:
**SG**: Cmcm, No. 63
**Crystal system**: orthorhombic
**Theoretical density**: 2.34 g/cm3


Most stable: entry b